(1)
Er2ScCu4Si2Ge2: relaxed, PBE-GGA.

abc: 7.828 7.828 7.828
angles: 149.63 131.11 58.65
Fractional positions:
Er1 0.129 0.129 0.000
Er2 0.871 0.871 0.000
Sc1 0.500 0.000 0.500
Cu1 0.133 0.326 0.808
Cu2 0.482 0.674 0.808
Cu3 0.518 0.326 0.192
Cu4 0.867 0.674 0.192
Si1 0.286 0.786 0.500
Si2 0.714 0.214 0.500
Ge1 0.201 0.500 0.701
Ge2 0.799 0.500 0.299

=====

(2)
RbHo3F10: relaxed, PBE-GGA.

abc: 7.711 7.711 4.094
angles: 90.05 90.05 60.02
Fractional positions:
Rb1 0.000 0.000 0.000
Ho1 0.505 0.505 0.547
Ho2 0.506 0.982 0.540
Ho3 0.982 0.506 0.540
F1 0.072 0.458 0.041
F2 0.183 0.627 0.572
F3 0.185 0.185 0.564
F4 0.367 0.812 0.357
F5 0.458 0.072 0.041
F6 0.460 0.460 0.047
F7 0.627 0.183 0.572
F8 0.665 0.665 0.771
F9 0.812 0.367 0.357
F10 0.813 0.813 0.347

=====

(3)
Cs2ZrSe3: relaxed, PBE-GGA.

abc: 8.694 4.122 11.543
angles: 90.00 96.57 90.00
Fractional positions:
Cs1 0.081 0.250 0.142
Cs2 0.251 0.750 0.480
Cs3 0.749 0.250 0.520
Cs4 0.919 0.750 0.858
Zr1 0.407 0.250 0.837
Zr2 0.593 0.750 0.163
Se1 0.150 0.250 0.706
Se2 0.325 0.750 0.982
Se3 0.460 0.250 0.276
Se4 0.540 0.750 0.724
Se5 0.675 0.250 0.018
Se6 0.850 0.750 0.294

=====

(4)
FeSb: relaxed, PBE-GGA.

abc: 4.280 4.280 5.113
angles: 90.00 90.00 120.00
Fractional positions:
Fe1 0.333 0.667 0.250
Fe2 0.667 0.333 0.750
Sb1 0.333 0.667 0.750
Sb2 0.667 0.333 0.250

=====

(5)
ScBeFeSn: relaxed, PBE-GGA.

abc: 4.409 4.409 4.409
angles: 60.00 60.00 60.00
Fractional positions:
Sc1 0.000 0.000 0.000
Be1 0.250 0.250 0.250
Fe1 0.500 0.500 0.500
Sn1 0.750 0.750 0.750

=====

(6)
YCoBi2: relaxed, PBE-GGA.

abc: 5.200 5.200 5.200
angles: 60.00 60.00 60.00
Fractional positions:
Y1 0.000 0.000 0.000
Co1 0.250 0.250 0.250
Bi1 0.500 0.500 0.500
Bi2 0.750 0.750 0.750

=====

Number 1: electronic total energy -57.227 eV per cell. Number 2: electronic total energy -88.144 eV per cell. Number 3: electronic total energy -57.065 eV per cell. Number 4: electronic total energy -22.763 eV per cell. Number 5: electronic total energy -22.222 eV per cell. Number 6: electronic total energy -20.946 eV per cell.